Arrangement a

First-principles (PBE) data for an optimized crystal structure of AcPmSe2, as listed in the Alexandria database.

POSCAR file:
```
AcPmSe2
1.0
3.742 0.000 0.000
0.000 3.742 0.000
0.000 0.000 7.462
Ac Pm Se
1 1 2
Cartesian
0.000 0.000 0.000
0.000 0.000 3.731
1.871 1.871 1.966
1.871 1.871 5.497
```

Summary:
- Volume: 26.1 Å³ per atom
- Crystal system: tetragonal
- Total moment: 0.001 μB per atom


Arrangement b

First-principles (PBE) data for an optimized crystal structure of AcPmSe2, as listed in the Alexandria database.

POSCAR file:
```
AcPmSe2
1.0
4.271 0.000 0.000
-2.135 3.699 0.000
0.000 0.000 14.627
Ac Pm Se
2 2 4
Cartesian
0.000 2.466 3.657
2.135 1.233 10.970
0.000 0.000 0.000
0.000 0.000 7.314
0.000 2.466 8.995
0.000 2.466 12.945
2.135 1.233 1.682
2.135 1.233 5.632
```

Summary:
- Volume: 28.9 Å³ per atom
- Crystal system: hexagonal
- Total moment: 0.000 μB per atom


Arrangement c

First-principles (PBE) data for an optimized crystal structure of AcPmSe2, as listed in the Alexandria database.

POSCAR file:
```
AcPmSe2
1.0
4.326 0.000 0.000
-2.163 3.746 0.000
0.000 0.000 21.254
Ac Pm Se
3 3 6
Cartesian
0.000 0.000 0.000
0.000 2.497 14.169
2.163 1.249 7.085
0.000 0.000 10.627
0.000 2.497 3.542
2.163 1.249 17.712
0.000 0.000 5.187
0.000 0.000 16.067
0.000 2.497 8.982
0.000 2.497 19.357
2.163 1.249 1.898
2.163 1.249 12.272
```

Summary:
- Volume: 28.7 Å³ per atom
- Crystal system: trigonal
- Total moment: 0.000 μB per atom


Most stable structure: arrangement c


Arrangement a

First-principles (PBE) data for an optimized crystal structure of AcPmSe2, as listed in the Alexandria database.

POSCAR file:
```
AcPmSe2
1.0
4.222 0.000 0.000
-2.111 3.656 0.000
0.000 0.000 22.700
Ac Pm Se
3 3 6
Cartesian
0.000 0.000 0.000
0.000 2.437 15.134
2.111 1.219 7.567
0.000 0.000 18.696
0.000 2.437 11.129
2.111 1.219 3.563
0.000 0.000 5.420
0.000 0.000 9.514
0.000 2.437 1.947
0.000 2.437 20.554
2.111 1.219 12.987
2.111 1.219 17.081
```

Summary:
- Volume: 29.2 Å³ per atom
- Crystal system: trigonal
- Total moment: 0.000 μB per atom


Arrangement b

First-principles (PBE) data for an optimized crystal structure of AcPmSe2, as listed in the Alexandria database.

POSCAR file:
```
AcPmSe2
1.0
7.490 0.000 0.000
0.000 7.490 0.000
0.000 0.000 7.490
Ac Pm Se
4 4 8
Cartesian
0.000 0.000 0.000
0.000 3.745 3.745
3.745 0.000 3.745
3.745 3.745 0.000
0.000 0.000 3.745
0.000 3.745 0.000
3.745 0.000 0.000
3.745 3.745 3.745
1.872 1.872 1.872
1.872 1.872 5.617
1.872 5.617 1.872
1.872 5.617 5.617
5.617 1.872 1.872
5.617 1.872 5.617
5.617 5.617 1.872
5.617 5.617 5.617
```

Summary:
- Volume: 26.3 Å³ per atom
- Crystal system: cubic
- Total moment: 0.000 μB per atom


Most stable structure: arrangement a